Record 1
DFT (PBE-GGA) results for a relaxed structure of CdPtN2.

Lattice parameters (Å, degrees): 6.446 6.446 6.446 29.03 29.03 29.03
Element x y z (fractional)
Cd1 0.000 0.000 0.000
Pt1 0.500 0.500 0.500
N1 0.115 0.115 0.115
N2 0.885 0.885 0.885

Space-group type   R-3m
Magnetization   0.00 Bohr magnetons per cell
Formation energy (no corrections)   0.687 eV per atom



Record 2
DFT (PBE-GGA) results for a relaxed structure of ErLuCu.

Lattice parameters (Å, degrees): 4.728 4.728 3.704 90.00 90.00 120.00
Element x y z (fractional)
Er1 0.000 0.000 0.000
Lu1 0.333 0.667 0.484
Cu1 0.667 0.333 0.722

Space-group type   P3m1
Offset from the most stable computed form   17.18 kJ per mole of atoms
Magnetization   0.00 Bohr magnetons per cell
DFT formation energy   0.07 eV per formula unit



Record 3
DFT (PBE-GGA) results for a relaxed structure of Ba3SmHo3Te8.

Lattice parameters (Å, degrees): 9.510 9.510 9.510 56.44 56.44 56.44
Element x y z (fractional)
Ba1 0.000 0.500 0.500
Ba2 0.500 0.000 0.500
Ba3 0.500 0.500 0.000
Sm1 0.500 0.500 0.500
Ho1 0.000 0.000 0.500
Ho2 0.000 0.500 0.000
Ho3 0.500 0.000 0.000
Te1 0.229 0.745 0.745
Te2 0.238 0.238 0.238
Te3 0.255 0.255 0.771
Te4 0.255 0.771 0.255
Te5 0.745 0.229 0.745
Te6 0.745 0.745 0.229
Te7 0.762 0.762 0.762
Te8 0.771 0.255 0.255

Space-group type   R-3m
Magnetization   0.00 Bohr magnetons per cell
Formation energy (no corrections)   -1.529 eV per atom



Record 4
DFT (PBE-GGA) results for a relaxed structure of Si2P.

Lattice parameters (Å, degrees): 5.059 5.059 5.059 144.48 144.48 51.11
Element x y z (fractional)
Si1 0.151 0.151 0.000
Si2 0.849 0.849 0.000
P1 0.500 0.500 0.000

Space-group type   I4/mmm
Offset from the most stable computed form   45.98 kJ per mole of atoms
Magnetization   0.00 Bohr magnetons per cell
Formation energy (no corrections)   0.480 eV per atom



Record 5
DFT (PBE-GGA) results for a relaxed structure of GeTeOs2C.

Lattice parameters (Å, degrees): 4.831 4.831 5.288 90.00 90.00 90.00
Element x y z (fractional)
Ge1 0.000 0.000 0.000
Te1 0.000 0.000 0.500
Os1 0.000 0.500 0.500
Os2 0.500 0.000 0.500
C1 0.500 0.500 0.000

Space-group type   P4/mmm
Magnetization   0.00 Bohr magnetons per cell
Formation energy (no corrections)   3.384 eV per atom



Record 6
DFT (PBE-GGA) results for a relaxed structure of KEr3Se4O12.

Lattice parameters (Å, degrees): 7.569 7.569 7.569 107.38 107.38 107.38
Element x y z (fractional)
K1 0.000 0.000 0.000
Er1 0.000 0.566 0.434
Er2 0.434 0.000 0.566
Er3 0.566 0.434 0.000
Se1 0.066 0.500 0.934
Se2 0.500 0.500 0.500
Se3 0.500 0.934 0.066
Se4 0.934 0.066 0.500
O1 0.078 0.626 0.777
O2 0.116 0.884 0.500
O3 0.223 0.374 0.922
O4 0.343 0.657 0.500
O5 0.374 0.922 0.223
O6 0.500 0.116 0.884
O7 0.500 0.343 0.657
O8 0.626 0.777 0.078
O9 0.657 0.500 0.343
O10 0.777 0.078 0.626
O11 0.884 0.500 0.116
O12 0.922 0.223 0.374

Space-group type   R32
Magnetization   0.92 Bohr magnetons per cell
Formation energy (no corrections)   -1.627 eV per atom



Record 7
DFT (PBE-GGA) results for a relaxed structure of Si2AsOs.

Lattice parameters (Å, degrees): 4.378 4.424 4.424 53.86 90.00 90.00
Element x y z (fractional)
Si1 0.000 0.000 0.000
Si2 0.500 0.197 0.197
As1 0.500 0.518 0.518
Os1 0.000 0.335 0.335

Space-group type   Amm2
Magnetization   0.00 Bohr magnetons per cell
Formation energy (no corrections)   0.017 eV per atom



Record 8
DFT (PBE-GGA) results for a relaxed structure of AcLa2Hg8.

Lattice parameters (Å, degrees): 9.059 9.059 9.059 145.23 131.61 60.96
Element x y z (fractional)
Ac1 0.000 0.000 0.000
La1 0.312 0.312 0.000
La2 0.688 0.688 0.000
Hg1 0.132 0.845 0.287
Hg2 0.159 0.659 0.500
Hg3 0.291 0.500 0.791
Hg4 0.441 0.155 0.287
Hg5 0.559 0.845 0.713
Hg6 0.709 0.500 0.209
Hg7 0.841 0.341 0.500
Hg8 0.868 0.155 0.713

Space-group type   Immm
Magnetization   0.00 Bohr magnetons per cell
DFT formation energy   -4.25 eV per formula unit



Record 9
DFT (PBE-GGA) results for a relaxed structure of CsMn2I2.

Lattice parameters (Å, degrees): 9.695 9.695 4.315 90.00 90.00 90.00
Element x y z (fractional)
Cs1 0.000 0.000 0.000
Cs2 0.500 0.500 0.000
Mn1 0.092 0.408 0.000
Mn2 0.408 0.908 0.000
Mn3 0.592 0.092 0.000
Mn4 0.908 0.592 0.000
I1 0.231 0.269 0.500
I2 0.269 0.769 0.500
I3 0.731 0.231 0.500
I4 0.769 0.731 0.500

Space-group type   P4/mbm
Offset from the most stable computed form   6.92 kJ per mole of atoms
Magnetization   18.00 Bohr magnetons per cell
Formation energy (no corrections)   0.118 eV per atom



Record 10
DFT (PBE-GGA) results for a relaxed structure of Pm6PbSe5.

Lattice parameters (Å, degrees): 7.373 7.373 7.405 99.56 99.56 120.02
Element x y z (fractional)
Pm1 0.073 0.414 0.742
Pm2 0.242 0.242 0.254
Pm3 0.414 0.073 0.742
Pm4 0.586 0.927 0.258
Pm5 0.758 0.758 0.746
Pm6 0.927 0.586 0.258
Pb1 0.500 0.500 0.000
Se1 0.000 0.000 0.500
Se2 0.168 0.832 0.000
Se3 0.338 0.662 0.500
Se4 0.662 0.338 0.500
Se5 0.832 0.168 0.000

Space-group type   C2/m
Magnetization   0.00 Bohr magnetons per cell
Formation energy (no corrections)   -1.623 eV per atom



Record 11
DFT (PBE-GGA) results for a relaxed structure of YAuCl2.

Lattice parameters (Å, degrees): 7.393 7.393 7.393 152.00 138.56 50.76
Element x y z (fractional)
Y1 0.000 0.000 0.000
Au1 0.500 0.500 0.000
Cl1 0.148 0.648 0.500
Cl2 0.852 0.352 0.500

Space-group type   Immm
Offset from the most stable computed form   9.26 kJ per mole of atoms
Magnetization   0.00 Bohr magnetons per cell
Formation energy (no corrections)   -1.359 eV per atom



Record 12
DFT (PBE-GGA) results for a relaxed structure of LaAlAs4.

Lattice parameters (Å, degrees): 5.726 5.726 5.726 60.00 60.00 60.00
Element x y z (fractional)
La1 0.000 0.000 0.000
Al1 0.750 0.750 0.750
As1 0.380 0.380 0.380
As2 0.380 0.380 0.861
As3 0.380 0.861 0.380
As4 0.861 0.380 0.380

Space-group type   F-43m
Magnetization   0.00 Bohr magnetons per cell
DFT formation energy   -1.13 eV per formula unit



Record 13
DFT (PBE-GGA) results for a relaxed structure of NaPa2S6.

Lattice parameters (Å, degrees): 7.414 7.414 3.980 90.00 90.00 120.00
Element x y z (fractional)
Na1 0.000 0.000 0.000
Pa1 0.333 0.667 0.753
Pa2 0.667 0.333 0.247
S1 0.089 0.692 0.253
S2 0.308 0.397 0.253
S3 0.397 0.089 0.747
S4 0.603 0.911 0.253
S5 0.692 0.603 0.747
S6 0.911 0.308 0.747

Space-group type   P-3
Offset from the most stable computed form   0.00 kJ per mole of atoms
Magnetization   0.00 Bohr magnetons per cell
Formation energy (no corrections)   -1.378 eV per atom



Record 14
DFT (PBE-GGA) results for a relaxed structure of Tb3Se2ClO8.

Lattice parameters (Å, degrees): 5.610 14.689 11.237 90.00 90.00 90.00
Element x y z (fractional)
Tb1 0.064 0.250 0.148
Tb2 0.080 0.066 0.355
Tb3 0.080 0.434 0.355
Tb4 0.420 0.566 0.855
Tb5 0.420 0.934 0.855
Tb6 0.436 0.750 0.648
Tb7 0.564 0.250 0.352
Tb8 0.580 0.066 0.145
Tb9 0.580 0.434 0.145
Tb10 0.920 0.566 0.645
Tb11 0.920 0.934 0.645
Tb12 0.936 0.750 0.852
Se1 0.095 0.610 0.122
Se2 0.095 0.890 0.122
Se3 0.405 0.110 0.622
Se4 0.405 0.390 0.622
Se5 0.595 0.610 0.378
Se6 0.595 0.890 0.378
Se7 0.905 0.110 0.878
Se8 0.905 0.390 0.878
Cl1 0.076 0.250 0.473
Cl2 0.424 0.750 0.973
Cl3 0.576 0.250 0.027
Cl4 0.924 0.750 0.527
O1 0.072 0.137 0.998
O2 0.072 0.363 0.998
O3 0.075 0.024 0.808
O4 0.075 0.476 0.808
O5 0.179 0.044 0.556
O6 0.179 0.456 0.556
O7 0.182 0.652 0.743
O8 0.182 0.848 0.743
O9 0.318 0.152 0.243
O10 0.318 0.348 0.243
O11 0.321 0.544 0.056
O12 0.321 0.956 0.056
O13 0.425 0.524 0.308
O14 0.425 0.976 0.308
O15 0.428 0.637 0.498
O16 0.428 0.863 0.498
O17 0.572 0.137 0.502
O18 0.572 0.363 0.502
O19 0.575 0.024 0.692
O20 0.575 0.476 0.692
O21 0.679 0.044 0.944
O22 0.679 0.456 0.944
O23 0.682 0.652 0.757
O24 0.682 0.848 0.757
O25 0.818 0.152 0.257
O26 0.818 0.348 0.257
O27 0.821 0.544 0.444
O28 0.821 0.956 0.444
O29 0.925 0.524 0.192
O30 0.925 0.976 0.192
O31 0.928 0.637 0.002
O32 0.928 0.863 0.002

Space-group type   Pnma
Magnetization   0.00 Bohr magnetons per cell
Formation energy (no corrections)   -2.377 eV per atom



Record 15
DFT (PBE-GGA) results for a relaxed structure of RbLi.

Lattice parameters (Å, degrees): 11.289 10.315 6.958 79.00 63.77 37.23
Element x y z (fractional)
Rb1 0.043 0.707 0.043
Rb2 0.293 0.957 0.293
Rb3 0.707 0.043 0.707
Rb4 0.957 0.293 0.957
Li1 0.296 0.296 0.454
Li2 0.454 0.454 0.296
Li3 0.546 0.546 0.704
Li4 0.704 0.704 0.546

Space-group type   Fddd
Magnetization   0.00 Bohr magnetons per cell
DFT formation energy   0.40 eV per formula unit



Record 16
DFT (PBE-GGA) results for a relaxed structure of CrSbBr2.

Lattice parameters (Å, degrees): 11.448 11.448 11.448 17.91 17.91 17.91
Element x y z (fractional)
Cr1 0.000 0.000 0.000
Sb1 0.500 0.500 0.500
Br1 0.286 0.286 0.286
Br2 0.714 0.714 0.714

Space-group type   R-3m
Offset from the most stable computed form   7.08 kJ per mole of atoms
Magnetization   4.26 Bohr magnetons per cell
Formation energy (no corrections)   -0.104 eV per atom



Record 17
DFT (PBE-GGA) results for a relaxed structure of CaCdCl2.

Lattice parameters (Å, degrees): 11.310 11.310 11.310 20.74 20.74 20.74
Element x y z (fractional)
Ca1 0.000 0.000 0.000
Cd1 0.500 0.500 0.500
Cl1 0.376 0.376 0.376
Cl2 0.624 0.624 0.624

Space-group type   R-3m
Offset from the most stable computed form   0.05 kJ per mole of atoms
Magnetization   0.00 Bohr magnetons per cell
Formation energy (no corrections)   -1.638 eV per atom



Record 18
DFT (PBE-GGA) results for a relaxed structure of P2RuW.

Lattice parameters (Å, degrees): 4.326 4.326 4.326 60.00 60.00 60.00
Element x y z (fractional)
P1 0.000 0.000 0.000
P2 0.250 0.250 0.250
Ru1 0.500 0.500 0.500
W1 0.750 0.750 0.750

Space-group type   F-43m
Magnetization   0.00 Bohr magnetons per cell
DFT formation energy   1.91 eV per formula unit



Record 19
DFT (PBE-GGA) results for a relaxed structure of La3SnCl3.

Lattice parameters (Å, degrees): 10.845 10.845 10.845 40.87 40.87 40.87
Element x y z (fractional)
La1 0.063 0.393 0.732
La2 0.268 0.937 0.607
La3 0.393 0.732 0.063
La4 0.607 0.268 0.937
La5 0.732 0.063 0.393
La6 0.937 0.607 0.268
Sn1 0.333 0.333 0.333
Sn2 0.667 0.667 0.667
Cl1 0.114 0.775 0.454
Cl2 0.225 0.546 0.886
Cl3 0.454 0.114 0.775
Cl4 0.546 0.886 0.225
Cl5 0.775 0.454 0.114
Cl6 0.886 0.225 0.546

Space-group type   R-3
Magnetization   0.00 Bohr magnetons per cell
Formation energy (no corrections)   -1.549 eV per atom



Record 20
DFT (PBE-GGA) results for a relaxed structure of K2AsPt2.

Lattice parameters (Å, degrees): 5.795 5.795 7.943 96.73 96.73 70.29
Element x y z (fractional)
K1 0.029 0.258 0.142
K2 0.258 0.029 0.642
K3 0.742 0.971 0.358
K4 0.971 0.742 0.858
As1 0.439 0.561 0.250
As2 0.561 0.439 0.750
Pt1 0.241 0.507 0.499
Pt2 0.493 0.759 0.001
Pt3 0.507 0.241 0.999
Pt4 0.759 0.493 0.501

Space-group type   C2/c
Offset from the most stable computed form   0.00 kJ per mole of atoms
Magnetization   0.00 Bohr magnetons per cell
DFT formation energy   -1.88 eV per formula unit